Record 1
Density functional theory data (GGA-PBE) for a relaxed structure of TcNiCl2.

Cell: 2.901 3.909 5.691 Å, 90.00 98.21 90.00°
Space group P2/m (No. 10)
One atom of each set of equivalent atoms:
Tc1 0.000 0.000 0.000 x1
Ni1 0.000 0.000 0.500 x1
Cl1 0.130 0.500 0.253 x2

Results
Excess energy over the best structure of this formula in the dataset in meV per atom: 532
Volume in Å³/f.u.: 63.9
Spin magnetization in μB per cell: 0.2
Formation energy without anion corrections in meV per atom: 479
Crystal system: monoclinic

Record 2
Density functional theory data (GGA-PBE) for a relaxed structure of RbMn2Ru.

Cell: 6.295 6.295 6.295 Å, 90.00 90.00 90.00°
Space group Fm-3m (No. 225)
One atom of each set of equivalent atoms:
Rb1 0.000 0.000 0.000 x4
Mn1 0.250 0.250 0.250 x8
Ru1 0.000 0.000 0.500 x4

Results
Excess energy over the best structure of this formula in the dataset in meV per atom: 713
Volume in Å³/f.u.: 62.4
Spin magnetization in μB per cell: 0.0
ΔE_f in eV per atom: 1.878
Crystal system: cubic

Record 3
Density functional theory data (GGA-PBE) for a relaxed structure of Sr7Cd2Sn2.

Cell: 8.619 12.405 8.597 Å, 90.00 90.00 90.00°
Space group Cmmm (No. 65)
One atom of each set of equivalent atoms:
Sr1 0.000 0.000 0.000 x2
Sr2 0.000 0.500 0.259 x4
Sr3 0.250 0.250 0.285 x8
Cd1 0.000 0.291 0.000 x4
Sn1 0.175 0.000 0.500 x4

Results
Volume in Å³/f.u.: 459.6
Spin magnetization in μB per cell: 0.0
ΔE_f in eV per atom: -0.204
Crystal system: orthorhombic

Record 4
Density functional theory data (GGA-PBE) for a relaxed structure of Zr6TlAg.

Cell: 7.9343 7.9343 9.7099 Å, 90.00 90.00 120.00°
Space group R-3 (No. 148, hexagonal axes)
One atom of each set of equivalent atoms:
Zr1 0.0020 0.2514 0.2509 x18
Tl1 0.0000 0.0000 0.0000 x3
Ag1 0.0000 0.0000 0.5000 x3

Results
Volume in Å³/f.u.: 176.4
Spin magnetization in μB per cell: 0.0
ΔE_f in eV per atom: -0.078
Crystal system: trigonal

Record 5
Density functional theory data (GGA-PBE) for a relaxed structure of NiPOs3.

Cell: 4.315 4.315 4.315 Å, 90.00 90.00 90.00°
Space group Pm-3m (No. 221)
One atom of each set of equivalent atoms:
Ni1 0.000 0.000 0.000 x1
P1 0.500 0.500 0.500 x1
Os1 0.000 0.500 0.500 x3

Results
Excess energy over the best structure of this formula in the dataset in meV per atom: 0
Volume in Å³/f.u.: 80.3
Spin magnetization in μB per cell: 1.6
ΔE_f in eV per atom: 1.149
Crystal system: cubic

Record 6
Density functional theory data (GGA-PBE) for a relaxed structure of LaH3Ir.

Cell: 5.0551 5.0551 15.9299 Å, 90.00 90.00 120.00°
Space group R-3m (No. 166, hexagonal axes)
One atom of each set of equivalent atoms:
La1 0.0000 0.0000 0.0989 x6
H1 0.0170 0.5085 0.0744 x18
Ir1 0.0000 0.0000 0.3086 x6

Results
Volume in Å³/f.u.: 58.8
Spin magnetization in μB per cell: 0.0
Crystal system: trigonal

Record 7
Density functional theory data (GGA-PBE) for a relaxed structure of ZrTi6Mo2.

Cell: 4.5774 4.5774 8.5877 Å, 90.00 90.00 120.00°
Space group P-3m1 (No. 164)
One atom of each set of equivalent atoms:
Zr1 0.0000 0.0000 0.0000 x1
Ti1 0.0000 0.0000 0.3409 x2
Ti2 0.3333 0.6667 0.1564 x2
Ti3 0.3333 0.6667 0.7791 x2
Mo1 0.3333 0.6667 0.4567 x2

Results
Volume in Å³/f.u.: 155.8
Spin magnetization in μB per cell: 0.0
ΔE_f in eV per atom: -0.003
Crystal system: trigonal

Record 8
Density functional theory data (GGA-PBE) for a relaxed structure of Ho3Tc3B8.

Cell: 3.129 9.653 11.004 Å, 90.00 90.00 90.00°
Space group Immm (No. 71)
One atom of each set of equivalent atoms:
Ho1 0.000 0.000 0.000 x2
Ho2 0.000 0.000 0.287 x4
Tc1 0.000 0.243 0.500 x4
Tc2 0.000 0.500 0.000 x2
B1 0.000 0.286 0.298 x8
B2 0.000 0.303 0.141 x8

Results
Volume in Å³/f.u.: 166.2
Spin magnetization in μB per cell: 0.0
ΔE_f in eV per atom: -0.242
Crystal system: orthorhombic

Record 9
Density functional theory data (GGA-PBE) for a relaxed structure of Y3Tl3SbS8.

Cell: 7.9843 7.9843 22.8435 Å, 90.00 90.00 120.00°
Space group R-3m (No. 166, hexagonal axes)
One atom of each set of equivalent atoms:
Y1 0.0000 0.5000 0.0000 x9
Tl1 0.0000 0.5000 0.5000 x9
Sb1 0.0000 0.0000 0.0000 x3
S1 0.0000 0.0000 0.2676 x6
S2 0.0113 0.5056 0.7306 x18

Results
Volume in Å³/f.u.: 420.4
Spin magnetization in μB per cell: 0.0
Formation energy without anion corrections in meV per atom: -1213
Crystal system: trigonal

The evaluated energy for the records listed, in turn: -4.481, -5.267, -2.169, -7.141, -7.827, -5.129, -8.623, -7.260, -5.455 eV/atom.